# 1
# KCo2Os

A relaxed structure of KCo2Os (PBE, Alexandria via LeMat-Bulk).

```
KCo2Os
1.0
3.4542 -3.4671 0.0000
3.4542 3.4671 0.0000
0.0000 0.0000 2.5896
K Co Os
1 2 1
Cartesian
0.0000 0.0000 0.0000 K
1.7271 1.7336 1.2948 Co
1.7271 -1.7336 1.2948 Co
3.4542 0.0000 0.0000 Os
```

**Total magnetization**: 3.920 μB/f.u.
**Uncorrected energy**: -22.06 eV for the cell shown
**Energy relative to the elements**: 1120 meV per atom
**Space-group type**: No. 65
**Crystal system**: orthorhombic
**Offset from the most stable computed form**: 9.971 kcal/mol of atoms



# 2
# HoThNi4

A relaxed structure of HoThNi4 (PBE, Alexandria via LeMat-Bulk).

```
HoThNi4
1.0
3.6838 0.0000 0.0000
0.0000 4.0642 0.0000
0.0000 0.0000 7.0810
Ho Th Ni
1 1 4
Cartesian
0.0000 0.0000 0.0000 Ho
0.0000 2.0321 3.5405 Th
1.8419 0.0000 2.3412 Ni
1.8419 0.0000 4.7398 Ni
1.8419 2.0321 1.1554 Ni
1.8419 2.0321 5.9256 Ni
```

**Total magnetization**: 0.000 μB/f.u.
**Uncorrected energy**: -37.62 eV for the cell shown
**Energy relative to the elements**: -416 meV per atom
**Space-group type**: No. 47
**Crystal system**: orthorhombic
**Offset from the most stable computed form**: 0.000 kcal/mol of atoms



# 3
# Zr3PaTc2

A relaxed structure of Zr3PaTc2 (PBE, Alexandria via LeMat-Bulk).

```
Zr3PaTc2
1.0
3.2996 0.0000 0.0000
0.0000 3.2996 0.0000
0.0000 0.0000 11.0375
Zr Pa Tc
3 1 2
Cartesian
0.0000 0.0000 0.0000 Zr
0.0000 0.0000 3.2419 Zr
0.0000 0.0000 7.7956 Zr
1.6498 1.6498 5.5187 Pa
1.6498 1.6498 1.6791 Tc
1.6498 1.6498 9.3584 Tc
```

**Total magnetization**: 0.004 μB/f.u.
**Uncorrected energy**: -57.11 eV for the cell shown
**Energy relative to the elements**: -207 meV per atom
**Space-group type**: No. 123
**Crystal system**: tetragonal



# 4
# TlZnSb3

A relaxed structure of TlZnSb3 (PBE, Alexandria via LeMat-Bulk).

```
TlZnSb3
1.0
5.3526 0.0000 0.0000
0.0000 5.3526 0.0000
0.0000 0.0000 5.3526
Tl Zn Sb
1 1 3
Cartesian
0.0000 0.0000 0.0000 Tl
2.6763 2.6763 2.6763 Zn
0.0000 2.6763 2.6763 Sb
2.6763 0.0000 2.6763 Sb
2.6763 2.6763 0.0000 Sb
```

**Total magnetization**: 0.000 μB/f.u.
**Uncorrected energy**: -14.01 eV for the cell shown
**Space-group type**: No. 221
**Crystal system**: cubic
**Formation energy (no corrections)**: 0.400 eV per atom
**Offset from the most stable computed form**: 0.000 kcal/mol of atoms



# 5
# Li5Ag2Ge2

A relaxed structure of Li5Ag2Ge2 (PBE, Alexandria via LeMat-Bulk).

```
Li5Ag2Ge2
1.0
6.7540 -4.2270 0.0000
6.7540 4.2270 0.0000
0.0000 0.0000 5.3197
Li Ag Ge
10 4 4
Cartesian
0.0000 0.0000 0.0000 Li
4.6025 2.1175 3.9956 Li
4.6025 2.1095 1.3358 Li
8.9055 2.1175 3.9956 Li
8.9055 2.1095 1.3358 Li
6.7540 0.0000 2.6598 Li
4.6025 -2.1095 3.9839 Li
4.6025 -2.1175 1.3240 Li
8.9055 -2.1095 3.9839 Li
8.9055 -2.1175 1.3240 Li
6.7540 2.8454 2.6618 Ag
6.7540 1.3815 0.0019 Ag
6.7540 -1.3815 5.3177 Ag
6.7540 -2.8454 2.6579 Ag
3.0126 0.0000 2.6598 Ge
3.7414 0.0000 0.0000 Ge
9.7666 0.0000 0.0000 Ge
10.4954 0.0000 2.6598 Ge
```

**Total magnetization**: 0.000 μB/f.u.
**Uncorrected energy**: -52.12 eV for the cell shown
**Energy relative to the elements**: -173 meV per atom
**Space-group type**: No. 64
**Crystal system**: orthorhombic



# 6
# Ac2Pm3PrAs6

A relaxed structure of Ac2Pm3PrAs6 (PBE, Alexandria via LeMat-Bulk).

```
Ac2Pm3PrAs6
1.0
9.4959 -2.1782 0.0000
9.4959 2.1782 0.0000
-2.0099 0.0000 8.4867
Ac Pm Pr As
2 3 1 6
Cartesian
2.4780 0.0000 2.8141 Ac
14.5040 0.0000 5.6726 Ac
1.4830 0.0000 7.0837 Pm
8.4910 0.0000 4.2433 Pm
15.4990 0.0000 1.4030 Pm
9.4959 0.0000 0.0000 Pr
-1.4341 0.0000 6.3634 As
4.4592 0.0000 7.8690 As
5.5819 0.0000 3.4573 As
11.4001 0.0000 5.0294 As
12.5228 0.0000 0.6176 As
18.4161 0.0000 2.1232 As
```

**Total magnetization**: 0.000 μB/f.u.
**Uncorrected energy**: -72.98 eV for the cell shown
**Energy relative to the elements**: -1486 meV per atom
**Space-group type**: No. 12
**Crystal system**: monoclinic



# 7
# LaZn2Mo

A relaxed structure of LaZn2Mo (PBE, Alexandria via LeMat-Bulk).

```
LaZn2Mo
1.0
5.5587 -1.5174 0.0000
5.5587 1.5174 0.0000
-2.5070 0.0000 4.6573
La Zn Mo
1 2 1
Cartesian
0.0000 0.0000 0.0000 La
0.6117 0.0000 3.3303 Zn
4.2535 0.0000 2.3021 Zn
7.8477 0.0000 1.2330 Mo
```

**Total magnetization**: 0.426 μB/f.u.
**Uncorrected energy**: -17.07 eV for the cell shown
**Energy relative to the elements**: 309 meV per atom
**Space-group type**: No. 8
**Crystal system**: monoclinic
**Offset from the most stable computed form**: 4.790 kcal/mol of atoms



# 8
# DyGe2Mo

A relaxed structure of DyGe2Mo (PBE, Alexandria via LeMat-Bulk).

```
DyGe2Mo
1.0
1.8517 1.0691 6.7830
-1.8517 1.0691 6.7830
0.0000 -2.1382 6.7830
Dy Ge Mo
1 2 1
Cartesian
0.0000 0.0000 0.0000 Dy
0.0000 0.0000 4.8703 Ge
0.0000 0.0000 15.4788 Ge
0.0000 0.0000 10.1745 Mo
```

**Total magnetization**: 0.000 μB/f.u.
**Uncorrected energy**: -25.76 eV for the cell shown
**Energy relative to the elements**: -273 meV per atom
**Space-group type**: No. 166
**Crystal system**: trigonal



# 9
# Ac8Ni3RuI4

A relaxed structure of Ac8Ni3RuI4 (PBE, Alexandria via LeMat-Bulk).

```
Ac8Ni3RuI4
1.0
7.5220 -4.3548 0.0000
7.5220 4.3548 0.0000
-5.0210 0.0000 8.6447
Ac Ni Ru I
8 3 1 4
Cartesian
3.7604 2.1977 5.9056 Ac
-0.0280 0.0000 5.9166 Ac
6.2627 2.1977 2.7391 Ac
2.5135 0.0000 2.7595 Ac
7.5096 0.0000 5.8852 Ac
3.7604 -2.1977 5.9056 Ac
10.0510 0.0000 2.7281 Ac
6.2627 -2.1977 2.7391 Ac
1.2505 2.1774 4.3223 Ni
1.2505 -2.1774 4.3223 Ni
5.0115 0.0000 4.3223 Ni
-2.5105 0.0000 4.3223 Ru
0.0000 0.0000 0.0000 I
3.7610 2.1774 0.0000 I
3.7610 -2.1774 0.0000 I
7.5220 0.0000 0.0000 I
```

**Total magnetization**: 0.000 μB/f.u.
**Uncorrected energy**: -77.54 eV for the cell shown
**Space-group type**: No. 12
**Crystal system**: monoclinic
**Formation energy (no corrections)**: -0.741 eV per atom



# 10
# La3ZnN

A relaxed structure of La3ZnN (PBE, Alexandria via LeMat-Bulk).

```
La3ZnN
1.0
10.0076 -1.9899 0.0000
10.0076 1.9899 0.0000
-0.2711 0.0000 7.3449
La Zn N
6 2 2
Cartesian
0.2092 0.0000 1.6531 La
3.5340 0.0000 2.7285 La
7.0051 0.0000 0.4543 La
12.7389 0.0000 6.8907 La
16.2100 0.0000 4.6164 La
19.5348 0.0000 5.6919 La
8.3399 0.0000 3.4342 Zn
11.4041 0.0000 3.9108 Zn
2.3560 0.0000 0.6609 N
17.3880 0.0000 6.6840 N
```

**Total magnetization**: 0.000 μB/f.u.
**Uncorrected energy**: -54.41 eV for the cell shown
**Space-group type**: No. 12
**Crystal system**: monoclinic
**Formation energy (no corrections)**: -0.565 eV per atom
**Offset from the most stable computed form**: 3.016 kcal/mol of atoms



# 11
# MnCu14Ge

A relaxed structure of MnCu14Ge (PBE, Alexandria via LeMat-Bulk).

```
MnCu14Ge
1.0
8.4173 0.0000 0.0000
0.0000 2.5718 4.5288
0.0000 -2.5718 4.5288
Mn Cu Ge
1 14 1
Cartesian
0.0000 0.0000 0.0000 Mn
0.0000 1.2913 6.7805 Cu
0.0000 -1.2913 6.7805 Cu
2.1075 0.0000 5.9986 Cu
2.1422 0.0000 1.4666 Cu
2.1454 -1.2988 3.7180 Cu
2.1454 1.2988 3.7180 Cu
4.2087 0.0000 2.9551 Cu
4.2087 -1.2771 5.2165 Cu
4.2087 1.2771 5.2165 Cu
4.2087 0.0000 7.4665 Cu
6.2719 -1.2988 3.7180 Cu
6.2719 1.2988 3.7180 Cu
6.2751 0.0000 1.4666 Cu
6.3098 0.0000 5.9986 Cu
0.0000 0.0000 4.4879 Ge
```

**Total magnetization**: 3.016 μB/f.u.
**Uncorrected energy**: -70.78 eV for the cell shown
**Energy relative to the elements**: 22 meV per atom
**Space-group type**: No. 38
**Crystal system**: orthorhombic



# 12
# CaAcP2Pd4

A relaxed structure of CaAcP2Pd4 (PBE, Alexandria via LeMat-Bulk).

```
CaAcP2Pd4
1.0
4.4644 0.0000 0.0000
0.0000 4.4644 0.0000
0.0000 0.0000 8.8793
Ca Ac P Pd
1 1 2 4
Cartesian
0.0000 0.0000 0.0000 Ca
0.0000 0.0000 4.4396 Ac
2.2322 2.2322 2.7645 P
2.2322 2.2322 6.1148 P
0.0000 2.2322 2.0833 Pd
0.0000 2.2322 6.7960 Pd
2.2322 0.0000 2.0833 Pd
2.2322 0.0000 6.7960 Pd
```

**Total magnetization**: 0.000 μB/f.u.
**Uncorrected energy**: -43.61 eV for the cell shown
**Energy relative to the elements**: -738 meV per atom
**Space-group type**: No. 123
**Crystal system**: tetragonal



# 13
# GdZnAu

A relaxed structure of GdZnAu (PBE, Alexandria via LeMat-Bulk).

```
GdZnAu
1.0
-1.8314 1.8314 4.7695
1.8314 -1.8314 4.7695
1.8314 1.8314 -4.7695
Gd Zn Au
1 1 1
Cartesian
0.0000 0.0000 0.0000 Gd
0.0000 0.0000 6.4998 Zn
0.0000 0.0000 3.0651 Au
```

**Total magnetization**: 7.020 μB/f.u.
**Uncorrected energy**: -20.20 eV for the cell shown
**Energy relative to the elements**: -524 meV per atom
**Space-group type**: No. 107
**Crystal system**: tetragonal